Entry 1:
# DyMg, relaxed, DFT GGA-PBE
# Total DFT energy (no corrections)   -24.0 eV per cell
data_DyMg
_cell_length_a 6.8300
_cell_length_b 6.8300
_cell_length_c 5.5034
_cell_angle_alpha 90.00
_cell_angle_beta 90.00
_cell_angle_gamma 120.00
_symmetry_space_group_name_H-M 'P -6 m 2'
_symmetry_Int_Tables_number 187
_symmetry_space_group_name_Hall 'P -6 2'
loop_
_atom_site_label
_atom_site_fract_x
_atom_site_fract_y
_atom_site_fract_z
_atom_site_occupancy
Dy1 0.0000 0.0000 0.0000 1
Dy2 0.3313 0.1657 0.5000 1
Mg1 0.3333 0.6667 0.5000 1
Mg2 0.5040 0.0080 0.0000 1

---

Entry 2:
# DyHoSi2Au2, relaxed, DFT GGA-PBE
# Total DFT energy (no corrections)   -31.5 eV per cell
data_DyHoSi2Au2
_cell_length_a 4.3090
_cell_length_b 4.3090
_cell_length_c 7.6632
_cell_angle_alpha 90.00
_cell_angle_beta 90.00
_cell_angle_gamma 120.00
_symmetry_space_group_name_H-M 'P 3 m 1'
_symmetry_Int_Tables_number 156
loop_
_symmetry_equiv_pos_as_xyz
'x,y,z'
'-y,x-y,z'
'-x+y,-x,z'
'-y,-x,z'
'-x+y,y,z'
'x,x-y,z'
loop_
_atom_site_label
_atom_site_fract_x
_atom_site_fract_y
_atom_site_fract_z
_atom_site_occupancy
Dy1 0.0000 0.0000 0.0000 1
Ho1 0.0000 0.0000 0.5000 1
Si1 0.3333 0.6667 0.7239 1
Si2 0.6667 0.3333 0.2240 1
Au1 0.3333 0.6667 0.2655 1
Au2 0.6667 0.3333 0.7652 1

---

Entry 3:
# Lu2Zn3W4N3, relaxed, DFT GGA-PBE
# Total DFT energy (no corrections)   -377.2 eV per cell
data_Lu2Zn3W4N3
_cell_length_a 9.437
_cell_length_b 5.491
_cell_length_c 13.546
_cell_angle_alpha 90.00
_cell_angle_beta 103.20
_cell_angle_gamma 90.00
_symmetry_space_group_name_H-M 'C 1 2/c 1'
_symmetry_Int_Tables_number 15
loop_
_symmetry_equiv_pos_as_xyz
'x,y,z'
'-x,-y,-z'
'-x,y,-z+1/2'
'x,-y,z+1/2'
'x+1/2,y+1/2,z'
'-x+1/2,-y+1/2,-z'
'-x+1/2,y+1/2,-z+1/2'
'x+1/2,-y+1/2,z+1/2'
loop_
_atom_site_label
_atom_site_fract_x
_atom_site_fract_y
_atom_site_fract_z
_atom_site_occupancy
Lu1 0.043 0.082 0.385 1
Zn1 0.000 0.432 0.750 1
Zn2 0.241 0.156 0.750 1
W1 0.110 0.427 0.577 1
W2 0.219 0.416 0.924 1
N1 0.076 0.227 0.000 1
N2 0.250 0.250 0.500 1

---

Entry 4:
# Ba2AlAg2, relaxed, DFT GGA-PBE
# ΔE to the lowest computed polymorph   0.016 eV/atom
# Total DFT energy (no corrections)   -24.0 eV per cell
data_Ba2AlAg2
_cell_length_a 5.578
_cell_length_b 5.578
_cell_length_c 11.664
_cell_angle_alpha 90.00
_cell_angle_beta 90.00
_cell_angle_gamma 90.00
_symmetry_space_group_name_H-M 'I 4/m m m'
_symmetry_Int_Tables_number 139
_symmetry_space_group_name_Hall '-I 4 2'
loop_
_atom_site_label
_atom_site_fract_x
_atom_site_fract_y
_atom_site_fract_z
_atom_site_occupancy
Ba1 0.000 0.500 0.250 1
Al1 0.000 0.000 0.000 1
Ag1 0.000 0.000 0.389 1

---

Entry 5:
# SiGeAu, relaxed, DFT GGA-PBE
# Total DFT energy (no corrections)   -50.8 eV per cell
data_SiGeAu
_cell_length_a 6.127
_cell_length_b 6.127
_cell_length_c 6.127
_cell_angle_alpha 90.00
_cell_angle_beta 90.00
_cell_angle_gamma 90.00
_symmetry_space_group_name_H-M 'F -4 3 m'
_symmetry_Int_Tables_number 216
_symmetry_space_group_name_Hall 'F -4 2 3'
loop_
_atom_site_label
_atom_site_fract_x
_atom_site_fract_y
_atom_site_fract_z
_atom_site_occupancy
Si1 0.000 0.000 0.000 1
Ge1 0.250 0.250 0.250 1
Au1 0.250 0.250 0.750 1

---

Entry 6:
# PrMgAgTe3, relaxed, DFT GGA-PBE
# Total DFT energy (no corrections)   -93.6 eV per cell
data_PrMgAgTe3
_cell_length_a 4.220
_cell_length_b 14.386
_cell_length_c 11.622
_cell_angle_alpha 90.00
_cell_angle_beta 90.00
_cell_angle_gamma 90.00
_symmetry_space_group_name_H-M 'C m c m'
_symmetry_Int_Tables_number 63
_symmetry_space_group_name_Hall '-C 2c 2'
loop_
_atom_site_label
_atom_site_fract_x
_atom_site_fract_y
_atom_site_fract_z
_atom_site_occupancy
Pr1 0.000 0.000 0.000 1
Mg1 0.000 0.224 0.250 1
Ag1 0.000 0.480 0.750 1
Te1 0.000 0.113 0.750 1
Te2 0.000 0.346 0.576 1

---

Entry 7:
# Ta4CdFeN2, relaxed, DFT GGA-PBE
# Total DFT energy (no corrections)   -76.8 eV per cell
data_Ta4CdFeN2
_cell_length_a 3.0735
_cell_length_b 3.0735
_cell_length_c 13.8841
_cell_angle_alpha 90.00
_cell_angle_beta 90.00
_cell_angle_gamma 120.00
_symmetry_space_group_name_H-M 'P -6 m 2'
_symmetry_Int_Tables_number 187
_symmetry_space_group_name_Hall 'P -6 2'
loop_
_atom_site_label
_atom_site_fract_x
_atom_site_fract_y
_atom_site_fract_z
_atom_site_occupancy
Ta1 0.0000 0.0000 0.1426 1
Ta2 0.6667 0.3333 0.3222 1
Cd1 0.0000 0.0000 0.5000 1
Fe1 0.6667 0.3333 0.0000 1
N1 0.3333 0.6667 0.2324 1

---

Entry 8:
# ScNi3H, relaxed, DFT GGA-PBE
# ΔE to the lowest computed polymorph   0.030 eV/atom
# Total DFT energy (no corrections)   -28.4 eV per cell
data_ScNi3H
_cell_length_a 3.737
_cell_length_b 3.735
_cell_length_c 3.742
_cell_angle_alpha 90.00
_cell_angle_beta 90.02
_cell_angle_gamma 90.00
_symmetry_space_group_name_H-M 'P 1 m 1'
_symmetry_Int_Tables_number 6
loop_
_symmetry_equiv_pos_as_xyz
'x,y,z'
'x,-y,z'
loop_
_atom_site_label
_atom_site_fract_x
_atom_site_fract_y
_atom_site_fract_z
_atom_site_occupancy
Sc1 0.000 0.000 0.000 1
Ni1 0.000 0.500 0.500 1
Ni2 0.500 0.000 0.500 1
Ni3 0.500 0.500 0.000 1
H1 0.503 0.500 0.496 1